P.
CsTa3Cr, relaxed, DFT PBE; volume = 126.07 Å³ per cell; symmetry = Pm-3m
1.0
-2.6395 -0.5150 -4.2320
0.6398 -4.9689 0.2057
-4.2149 -0.4317 2.6814
Cs Cr Ta
1 1 3
direct
0.0000 0.0000 0.0000 Cs
0.5000 0.5000 0.5000 Cr
0.0000 0.5000 0.0000 Ta
0.0000 0.0000 0.5000 Ta
0.5000 0.0000 0.0000 Ta



Q.
CsTa3Cr, relaxed, DFT PBE; volume = 114.89 Å³ per cell; symmetry = Pm-3m
1.0
4.8614 0.0000 0.0000
0.0000 4.8614 0.0000
0.0000 0.0000 4.8614
Cs Cr Ta
1 1 3
direct
0.5000 0.5000 0.5000 Cs
0.0000 0.0000 0.0000 Cr
0.0000 0.5000 0.0000 Ta
0.0000 0.0000 0.5000 Ta
0.5000 0.0000 0.0000 Ta



What should be chosen as the least stable of them? Choose P.



P.
CsCrTc3, relaxed, DFT PBE; volume = 104.47 Å³ per cell; symmetry = Pm-3m
1.0
4.7097 0.0000 0.0000
0.0000 4.7097 0.0000
0.0000 0.0000 4.7097
Cs Cr Tc
1 1 3
direct
0.5000 0.5000 0.5000 Cs
0.0000 0.0000 0.0000 Cr
0.0000 0.5000 0.0000 Tc
0.0000 0.0000 0.5000 Tc
0.5000 0.0000 0.0000 Tc



Q.
CsCrTc3, relaxed, DFT PBE; volume = 110.72 Å³ per cell; symmetry = Pm-3m
1.0
-0.7820 2.7835 -3.8338
-4.7083 -0.0238 0.9431
0.5277 3.9127 2.7332
Cs Cr Tc
1 1 3
direct
0.0000 0.0000 0.0000 Cs
0.5000 0.5000 0.5000 Cr
0.0000 0.5000 0.0000 Tc
0.0000 0.0000 0.5000 Tc
0.5000 0.0000 0.0000 Tc



What should be chosen as the least stable of them? Choose Q.



P.
Cs2TlCr2, relaxed, DFT PBE; volume = 152.80 Å³ per cell; symmetry = I4/mmm
1.0
-1.8705 2.3905 1.3608
-2.7075 -1.8905 -0.4006
-0.2736 -5.2836 12.9710
Cs Cr Tl
2 2 1
direct
0.3748 0.3748 0.2503 Cs
0.6252 0.6252 0.7497 Cs
0.7500 0.2500 0.5000 Cr
0.2500 0.7500 0.5000 Cr
0.0000 0.0000 0.0000 Tl



Q.
Cs2TlCr2, relaxed, DFT PBE; volume = 428.33 Å³ per cell; symmetry = P4/mbm
1.0
-11.0427 -0.6010 -1.7504
-1.4853 -3.4395 10.5513
-0.3369 3.2462 1.0108
Cs Cr Tl
4 4 2
direct
0.2853 0.7853 0.0000 Cs
0.7853 0.7147 0.0000 Cs
0.7147 0.2147 0.0000 Cs
0.2147 0.2853 0.0000 Cs
0.0544 0.5544 0.5000 Cr
0.5544 0.9456 0.5000 Cr
0.9456 0.4456 0.5000 Cr
0.4456 0.0544 0.5000 Cr
0.0000 0.0000 0.0000 Tl
0.5000 0.5000 0.0000 Tl



What should be chosen as the least stable of them? Choose Q.



P.
CsCr3W, relaxed, DFT PBE; volume = 126.18 Å³ per cell; symmetry = Pm-3m
1.0
-2.5961 -2.9410 -3.1254
0.3935 -3.8004 3.2494
-4.2734 1.4367 2.1978
Cs Cr W
1 3 1
direct
0.5000 0.5000 0.5000 Cs
0.0000 0.5000 0.0000 Cr
0.0000 0.0000 0.5000 Cr
0.5000 0.0000 0.0000 Cr
0.0000 0.0000 0.0000 W



Q.
CsCr3W, relaxed, DFT PBE; volume = 113.08 Å³ per cell; symmetry = Pm-3m
1.0
-2.6907 3.1521 2.4919
-1.1055 -3.4639 3.1880
3.8630 1.2042 2.6480
Cs Cr W
1 3 1
direct
0.0000 0.0000 0.0000 Cs
0.0000 0.5000 0.0000 Cr
0.0000 0.0000 0.5000 Cr
0.5000 0.0000 0.0000 Cr
0.5000 0.5000 0.5000 W



What should be chosen as the least stable of them? Choose Q.